# 1
A geometry-optimized Ag2Pd5W structure. Source: Alexandria, functional PBE.

Results
E_form, eV per atom: -0.05

Cell and atoms, written as CIF:
```
data_Ag2Pd5W
_space_group_name_H-M_alt 'I 4/m m m'
_space_group_IT_number 139
_space_group_name_Hall '-I 4 2'
_cell_length_a 3.9996
_cell_length_b 3.9996
_cell_length_c 15.9490
_cell_angle_alpha 90.00
_cell_angle_beta 90.00
_cell_angle_gamma 90.00
loop_
_atom_site_label
_atom_site_type_symbol
_atom_site_fract_x
_atom_site_fract_y
_atom_site_fract_z
Ag1 Ag 0.0000 0.0000 0.2468
Pd1 Pd 0.0000 0.0000 0.0000
Pd2 Pd 0.0000 0.5000 0.1165
W1 W 0.0000 0.0000 0.5000
```

# 2
A geometry-optimized BaScTc2 structure. Source: Alexandria, functional PBE.

Results
E_form, eV per atom: 0.90
Offset from the most stable computed form, meV/atom: 668

Cell and atoms, written as CIF:
```
data_BaScTc2
_space_group_name_H-M_alt 'P 4/m m m'
_space_group_IT_number 123
_space_group_name_Hall '-P 4 2'
_cell_length_a 4.8597
_cell_length_b 4.8597
_cell_length_c 3.4025
_cell_angle_alpha 90.00
_cell_angle_beta 90.00
_cell_angle_gamma 90.00
loop_
_atom_site_label
_atom_site_type_symbol
_atom_site_fract_x
_atom_site_fract_y
_atom_site_fract_z
Ba1 Ba 0.0000 0.0000 0.0000
Sc1 Sc 0.5000 0.5000 0.0000
Tc1 Tc 0.0000 0.5000 0.5000
```

# 3
A geometry-optimized RbMgScF6 structure. Source: Alexandria, functional PBE.

Results
ΔE_f (raw), eV per atom: -3.59

Cell and atoms, written as CIF:
```
data_RbMgScF6
_space_group_name_H-M_alt 'I m m a'
_space_group_IT_number 74
_space_group_name_Hall '-I 2b 2'
_cell_length_a 7.3934
_cell_length_b 7.6750
_cell_length_c 10.6575
_cell_angle_alpha 90.00
_cell_angle_beta 90.00
_cell_angle_gamma 90.00
loop_
_atom_site_label
_atom_site_type_symbol
_atom_site_fract_x
_atom_site_fract_y
_atom_site_fract_z
Rb1 Rb 0.0000 0.2500 0.0836
Mg1 Mg 0.2500 0.2500 0.7500
Sc1 Sc 0.0000 0.0000 0.5000
F1 F 0.0000 0.2500 0.4279
F2 F 0.0000 0.2500 0.8113
F3 F 0.1991 0.0619 0.6211
```

# 4
A geometry-optimized Pr3Y6Ho2In structure. Source: Alexandria, functional PBE.

Results
E_form, eV per atom: -0.04

Cell and atoms, written as CIF:
```
data_Pr3Y6Ho2In
_space_group_name_H-M_alt 'C 1 2/m 1'
_space_group_IT_number 12
_space_group_name_Hall '-C 2y'
_cell_length_a 6.1951
_cell_length_b 10.7288
_cell_length_c 11.7240
_cell_angle_alpha 90.00
_cell_angle_beta 100.17
_cell_angle_gamma 90.00
loop_
_atom_site_label
_atom_site_type_symbol
_atom_site_fract_x
_atom_site_fract_y
_atom_site_fract_z
Pr1 Pr 0.0000 0.0000 0.0000
Pr2 Pr 0.0000 0.3334 0.0000
Y1 Y 0.2432 0.3366 0.7414
Y2 Y 0.2470 0.5000 0.2578
Ho1 Ho 0.0000 0.1662 0.5000
In1 In 0.0000 0.5000 0.5000
```

# 5
A geometry-optimized Er4NiBi2 structure. Source: Alexandria, functional PBE.

Results
E_form, eV per atom: -0.44
Offset from the most stable computed form, meV/atom: 68

Cell and atoms, written as CIF:
```
data_Er4NiBi2
_space_group_name_H-M_alt 'P 1 21/m 1'
_space_group_IT_number 11
_space_group_name_Hall '-P 2yb'
_cell_length_a 6.8638
_cell_length_b 6.5764
_cell_length_c 8.9814
_cell_angle_alpha 90.00
_cell_angle_beta 107.57
_cell_angle_gamma 90.00
loop_
_atom_site_label
_atom_site_type_symbol
_atom_site_fract_x
_atom_site_fract_y
_atom_site_fract_z
Er1 Er 0.0196 0.0026 0.2774
Er2 Er 0.3592 0.7500 0.0595
Er3 Er 0.4281 0.7500 0.6385
Ni1 Ni 0.3247 0.7500 0.3334
Bi1 Bi 0.2114 0.2500 0.0391
Bi2 Bi 0.2768 0.2500 0.5818
```

# 6
A geometry-optimized Li2CeTm2Tl2 structure. Source: Alexandria, functional PBE.

Results
E_form, eV per atom: -0.12

Cell and atoms, written as CIF:
```
data_Li2CeTm2Tl2
_space_group_name_H-M_alt 'R -3 m'
_space_group_IT_number 166
_space_group_name_Hall '-R 3 2"'
_cell_length_a 4.8764
_cell_length_b 4.8764
_cell_length_c 26.3454
_cell_angle_alpha 90.00
_cell_angle_beta 90.00
_cell_angle_gamma 120.00
loop_
_atom_site_label
_atom_site_type_symbol
_atom_site_fract_x
_atom_site_fract_y
_atom_site_fract_z
Li1 Li 0.0000 0.0000 0.0916
Ce1 Ce 0.0000 0.0000 0.5000
Tm1 Tm 0.0000 0.0000 0.3712
Tl1 Tl 0.0000 0.0000 0.2409
```

# 7
A geometry-optimized K2Ag3Te3 structure. Source: Alexandria, functional PBE.

Results
ΔE_f (raw), eV per atom: -0.45

Cell and atoms, written as CIF:
```
data_K2Ag3Te3
_space_group_name_H-M_alt 'P 63/m c m'
_space_group_IT_number 193
_space_group_name_Hall '-P 6c 2'
_cell_length_a 8.1434
_cell_length_b 8.1434
_cell_length_c 10.3939
_cell_angle_alpha 90.00
_cell_angle_beta 90.00
_cell_angle_gamma 120.00
loop_
_atom_site_label
_atom_site_type_symbol
_atom_site_fract_x
_atom_site_fract_y
_atom_site_fract_z
K1 K 0.3333 0.6667 0.0000
Ag1 Ag 0.0000 0.3280 0.2500
Te1 Te 0.0000 0.3378 0.7500
```

# 8
A geometry-optimized Ce3HoTe6 structure. Source: Alexandria, functional PBE.

Results
ΔE_f (raw), eV per atom: -1.32

Cell and atoms, written as CIF:
```
data_Ce3HoTe6
_space_group_name_H-M_alt 'P 1 21/c 1'
_space_group_IT_number 14
_space_group_name_Hall '-P 2ybc'
_cell_length_a 7.4365
_cell_length_b 8.3723
_cell_length_c 13.3093
_cell_angle_alpha 90.00
_cell_angle_beta 122.47
_cell_angle_gamma 90.00
loop_
_atom_site_label
_atom_site_type_symbol
_atom_site_fract_x
_atom_site_fract_y
_atom_site_fract_z
Ce1 Ce 0.0000 0.0000 0.0000
Ce2 Ce 0.3066 0.1191 0.7553
Ho1 Ho 0.5000 0.0000 0.5000
Te1 Te 0.0935 0.0523 0.2562
Te2 Te 0.2415 0.6737 0.0790
Te3 Te 0.4173 0.1797 0.0741
```

# 9
A geometry-optimized K2NpS3 structure. Source: Alexandria, functional PBE.

Results
ΔE_f (raw), eV per atom: -1.36

Cell and atoms, written as CIF:
```
data_K2NpS3
_space_group_name_H-M_alt 'C 1 2/m 1'
_space_group_IT_number 12
_space_group_name_Hall '-C 2y'
_cell_length_a 7.2456
_cell_length_b 12.5439
_cell_length_c 7.7478
_cell_angle_alpha 90.00
_cell_angle_beta 108.56
_cell_angle_gamma 90.00
loop_
_atom_site_label
_atom_site_type_symbol
_atom_site_fract_x
_atom_site_fract_y
_atom_site_fract_z
K1 K 0.0000 0.0000 0.0000
K2 K 0.0000 0.1559 0.5000
K3 K 0.0000 0.5000 0.5000
Np1 Np 0.0000 0.3326 0.0000
S1 S 0.1931 0.5000 0.2026
S2 S 0.2418 0.3114 0.7962
```

# 10
A geometry-optimized PPtRh2 structure. Source: Alexandria, functional PBE.

Results
E_form, eV per atom: 0.06

Cell and atoms, written as CIF:
```
data_PPtRh2
_space_group_name_H-M_alt 'P m m m'
_space_group_IT_number 47
_space_group_name_Hall '-P 2 2'
_cell_length_a 2.7744
_cell_length_b 4.5177
_cell_length_c 4.6228
_cell_angle_alpha 90.00
_cell_angle_beta 90.00
_cell_angle_gamma 90.00
loop_
_atom_site_label
_atom_site_type_symbol
_atom_site_fract_x
_atom_site_fract_y
_atom_site_fract_z
P1 P 0.0000 0.0000 0.0000
Pt1 Pt 0.5000 0.0000 0.5000
Rh1 Rh 0.0000 0.5000 0.5000
Rh2 Rh 0.5000 0.5000 0.0000
```